Density functional theory data (PBE) for Pu2ThGe2Au2 after structural relaxation.

Properties
**E_form**: -3.1 eV per formula unit
**M_tot**: 11.38 μB/f.u.
**DOS at the Fermi energy**: 1.97 states/eV per atom
**Space-group type**: R-3m, No. 166

```
data_Pu2ThGe2Au2
_chemical_formula_sum 'Pu2 Th1 Ge2 Au2'
_symmetry_space_group_name_H-M 'P 1'
_symmetry_Int_Tables_number 1
_cell_length_a 4.5819
_cell_length_b 4.5819
_cell_length_c 9.0181
_cell_angle_alpha 75.28
_cell_angle_beta 75.28
_cell_angle_gamma 60.00
loop_
_symmetry_equiv_pos_as_xyz
'x,y,z'
loop_
_atom_site_label
_atom_site_type_symbol
_atom_site_fract_x
_atom_site_fract_y
_atom_site_fract_z
_atom_site_occupancy
Pu1 Pu 0.1416 0.1416 0.5752 1
Pu2 Pu 0.8584 0.8584 0.4248 1
Ge1 Ge 0.2649 0.2649 0.2052 1
Ge2 Ge 0.7351 0.7351 0.7948 1
Au1 Au 0.4196 0.4196 0.7413 1
Au2 Au 0.5804 0.5804 0.2587 1
Th1 Th 0.0000 0.0000 0.0000 1
```